The following is a PBE calculation of a relaxed DyPd4Pb crystal, from Alexandria via LeMat-Bulk.

Lattice parameters (Å, degrees): 5.860 5.727 7.175 90.00 107.19 90.00
Sites, in units of the cell vectors:
Dy 0.228 0.250 0.461
Dy 0.772 0.750 0.539
Pd 0.193 0.750 0.853
Pd 0.262 0.750 0.487
Pd 0.429 0.505 0.198
Pd 0.429 0.995 0.198
Pd 0.571 0.005 0.802
Pd 0.571 0.495 0.802
Pd 0.738 0.250 0.513
Pd 0.807 0.250 0.147
Pb 0.090 0.250 0.881
Pb 0.910 0.750 0.119

Calculated values
Calculated total energy ... -5.391 eV/atom
Formation enthalpy at 0 K ... -544 meV/atom
N(E_F) ... 0.45 states/eV per atom
Symmetry ... P2_1/m (11)

=====

The following is a PBE calculation of a relaxed Li2Sm3Bi3 crystal, from Alexandria via LeMat-Bulk.

Lattice parameters (Å, degrees): 6.478 6.478 15.587 90.00 90.00 138.73
Sites, in units of the cell vectors:
Li 0.226 0.774 0.598
Li 0.226 0.774 0.902
Li 0.774 0.226 0.098
Li 0.774 0.226 0.402
Sm 0.070 0.930 0.112
Sm 0.070 0.930 0.388
Sm 0.361 0.639 0.250
Sm 0.639 0.361 0.750
Sm 0.930 0.070 0.612
Sm 0.930 0.070 0.888
Bi 0.351 0.649 0.750
Bi 0.373 0.627 0.047
Bi 0.373 0.627 0.453
Bi 0.627 0.373 0.547
Bi 0.627 0.373 0.953
Bi 0.649 0.351 0.250

Calculated values
Calculated total energy ... -4.408 eV/atom
Formation enthalpy at 0 K ... -704 meV/atom
N(E_F) ... 0.68 states/eV per atom
Symmetry ... Cmcm (63)

=====

The following is a PBE calculation of a relaxed Dy4MgSc5 crystal, from Alexandria via LeMat-Bulk.

Lattice parameters (Å, degrees): 7.693 7.693 7.693 97.11 97.11 138.81
Sites, in units of the cell vectors:
Dy 0.000 0.317 0.317
Dy 0.000 0.683 0.683
Dy 0.317 0.000 0.317
Dy 0.683 0.000 0.683
Mg 0.261 0.261 0.000
Sc 0.317 0.317 0.629
Sc 0.317 0.688 0.000
Sc 0.688 0.317 0.000
Sc 0.688 0.688 0.371
Sc 0.774 0.774 0.000

Calculated values
Calculated total energy ... -4.977 eV/atom
Formation enthalpy at 0 K ... 189 meV/atom
N(E_F) ... 1.33 states/eV per atom
Symmetry ... I4mm (107)

=====

The following is a PBE calculation of a relaxed Ce6PrAs8 crystal, from Alexandria via LeMat-Bulk.

Lattice parameters (Å, degrees): 8.409 8.409 8.409 60.00 60.00 60.00
Sites, in units of the cell vectors:
Ce 0.000 0.000 0.500
Ce 0.000 0.500 0.000
Ce 0.000 0.500 0.500
Ce 0.500 0.000 0.000
Ce 0.500 0.000 0.500
Ce 0.500 0.500 0.000
Pr 0.000 0.000 0.000
As 0.250 0.250 0.250
As 0.253 0.253 0.747
As 0.253 0.747 0.253
As 0.253 0.747 0.747
As 0.747 0.253 0.253
As 0.747 0.253 0.747
As 0.747 0.747 0.253
As 0.750 0.750 0.750

Calculated values
Calculated total energy ... -6.386 eV/atom
Formation enthalpy at 0 K ... -1214 meV/atom
N(E_F) ... 1.73 states/eV per atom
Symmetry ... Fm-3m (225)